1.
Here is an optimized crystal structure of RbYHf from the Alexandria database. Energies are from PBE.

POSCAR file:
```
RbYHf
1.0
-2.4719 2.8114 9.5563
2.4719 -2.8114 9.5563
2.4719 2.8114 -9.5563
Rb Y Hf
2 2 2
Direct
0.0000 0.0000 0.0000 Rb
0.3569 0.3569 0.0000 Rb
0.1872 0.6872 0.5000 Y
0.5935 0.5935 0.0000 Y
0.6945 0.1945 0.5000 Hf
0.7566 0.7566 0.0000 Hf
```

Values from the calculation:
VASP energy ... -30.399 eV for the cell shown
Size of the total moment ... 0.11 μB per atom
Space-group type ... No. 44
E above lowest polymorph ... 483 meV/atom

2.
Here is an optimized crystal structure of MgOs2Br from the Alexandria database. Energies are from PBE.

POSCAR file:
```
MgOs2Br
1.0
3.5716 0.0000 0.0000
0.0000 3.5716 0.0000
0.0000 0.0000 6.2293
Mg Os Br
1 2 1
Direct
0.0000 0.0000 0.0000 Mg
0.0000 0.5000 0.5000 Os
0.5000 0.0000 0.5000 Os
0.5000 0.5000 0.0000 Br
```

Values from the calculation:
VASP energy ... -22.181 eV for the cell shown
Size of the total moment ... 0.00 μB per atom
Space-group type ... No. 123
E above lowest polymorph ... 632 meV/atom
Energy relative to the elements, uncorrected ... 886 meV per atom

3.
Here is an optimized crystal structure of Sb2POs from the Alexandria database. Energies are from PBE.

POSCAR file:
```
Sb2POs
1.0
-2.2379 2.2379 3.7878
2.2379 -2.2379 3.7878
2.2379 2.2379 -3.7878
Sb P Os
2 1 1
Direct
0.2500 0.7500 0.5000 Sb
0.7500 0.2500 0.5000 Sb
0.0000 0.0000 0.0000 P
0.5000 0.5000 0.0000 Os
```

Values from the calculation:
VASP energy ... -22.130 eV for the cell shown
Size of the total moment ... 0.00 μB per atom
Space-group type ... No. 139
Energy relative to the elements, uncorrected ... 689 meV per atom

Which of these has the highest VASP energy? Sb2POs

Which value of VASP energy does entry 2 give? -22.181 eV for the cell shown